#one
Crystalline AcSiO at its relaxed geometry. Source: Alexandria, functional GGA-PBE.

```
AcSiO
1.0
4.140 0.000 -1.250
0.000 4.078 0.001
0.131 -0.001 7.923
O Si Ac
2 2 2
Direct
0.369 0.615 0.200
0.861 0.115 0.186
0.576 0.115 0.614
0.654 0.615 0.771
0.950 0.615 0.363
0.280 0.115 0.023
```

***

#two
Crystalline AcSiO at its relaxed geometry. Source: Alexandria, functional GGA-PBE.

```
AcSiO
1.0
-0.387 -4.066 -0.382
3.434 1.594 1.575
-5.678 -0.133 7.179
Si O Ac
2 2 2
Direct
0.849 0.699 0.048
0.151 0.301 0.952
0.701 0.401 0.602
0.299 0.599 0.398
0.605 0.211 0.316
0.395 0.789 0.684
```

***

#three
Crystalline AcSiO at its relaxed geometry. Source: Alexandria, functional GGA-PBE.

```
AcSiO
1.0
5.248 0.000 0.000
-2.624 5.993 0.000
0.000 0.000 7.906
Ac O Si
4 4 4
Direct
0.161 0.321 0.580
0.339 0.679 0.080
0.839 0.679 0.420
0.661 0.321 0.920
0.749 0.998 0.250
0.751 0.002 0.750
0.251 0.002 0.750
0.249 0.998 0.250
0.433 0.865 0.624
0.067 0.135 0.124
0.567 0.135 0.376
0.933 0.865 0.876
```

***

Calculated relative energies: #one 7.0; #two 0.0; #three 78.9, given in kJ/mol of atoms

***

#one
Crystalline AcSm2O at its relaxed geometry. Source: Alexandria, functional GGA-PBE.

```
AcSm2O
1.0
3.665 0.000 0.000
1.832 3.174 0.000
1.832 1.058 9.856
Sm Ac O
2 1 1
Direct
0.122 0.122 0.633
0.878 0.878 0.367
0.000 0.000 0.000
0.500 0.500 0.500
```

***

#two
Crystalline AcSm2O at its relaxed geometry. Source: Alexandria, functional GGA-PBE.

```
AcSm2O
1.0
3.363 0.000 0.000
0.000 3.363 0.000
0.000 0.000 9.008
Ac O Sm
1 1 2
Direct
0.500 0.500 0.500
0.500 0.500 0.000
0.000 0.000 0.828
0.000 0.000 0.172
```

***

Calculated relative energies: #one 0.0; #two 44.8, given in kJ/mol of atoms

***

#one
Crystalline AcSmO at its relaxed geometry. Source: Alexandria, functional GGA-PBE.

```
AcSmO
1.0
3.787 0.000 0.000
-1.893 3.279 0.000
0.000 0.000 6.337
Ac O Sm
1 1 1
Direct
0.000 0.000 0.907
0.333 0.667 0.638
0.667 0.333 0.456
```

***

#two
Crystalline AcSmO at its relaxed geometry. Source: Alexandria, functional GGA-PBE.

```
AcSmO
1.0
3.615 0.000 0.000
0.000 7.537 -0.067
-1.808 -3.388 6.253
Sm O Ac
2 2 2
Direct
0.257 0.291 0.514
0.743 0.709 0.486
0.342 0.641 0.684
0.658 0.359 0.316
0.008 0.270 0.015
0.992 0.730 0.985
```

***

#three
Crystalline AcSmO at its relaxed geometry. Source: Alexandria, functional GGA-PBE.

```
AcSmO
1.0
-1.558 -2.175 -2.187
2.806 -2.016 0.005
-3.181 -1.450 6.439
Sm Ac O
1 1 1
Direct
0.251 0.251 0.502
0.968 0.968 0.935
0.781 0.781 0.563
```

***

Calculated relative energies: #one 0.0; #two 3.9; #three 6.1, given in kJ/mol of atoms

***

#one
Crystalline Ac2SnO at its relaxed geometry. Source: Alexandria, functional GGA-PBE.

```
Ac2SnO
1.0
-7.213 1.805 -0.056
2.048 -7.108 0.759
0.172 0.949 8.419
O Ac Sn
3 6 3
Direct
0.568 0.000 0.833
0.000 0.568 0.167
0.432 0.432 0.500
0.872 0.290 0.958
0.710 0.582 0.292
0.418 0.128 0.625
0.290 0.872 0.042
0.128 0.418 0.375
0.582 0.710 0.708
0.000 0.643 0.667
0.643 0.000 0.333
0.357 0.357 0.000
```

***

#two
Crystalline Ac2SnO at its relaxed geometry. Source: Alexandria, functional GGA-PBE.

```
Ac2SnO
1.0
-2.359 -1.664 -1.985
2.398 -0.386 -2.525
2.302 -7.183 3.284
Sn Ac O
1 2 1
Direct
0.500 0.500 0.500
0.000 0.000 0.208
0.000 0.000 0.792
0.500 0.500 0.000
```

***

Calculated relative energies: #one 0.0; #two 56.5, given in kJ/mol of atoms

***

#one
Crystalline AcSnO4 at its relaxed geometry. Source: Alexandria, functional GGA-PBE.

```
AcSnO4
1.0
-0.325 2.610 2.907
0.127 -2.908 2.626
13.230 1.056 0.528
O Sn Ac
8 2 2
Direct
0.000 0.000 0.500
0.000 0.000 0.130
0.500 0.000 0.682
0.500 0.500 0.870
0.500 0.500 0.500
0.500 0.500 0.130
0.000 0.500 0.318
0.000 0.000 0.870
0.000 0.500 0.166
0.500 0.000 0.834
0.500 0.000 0.387
0.000 0.500 0.613
```

***

#two
Crystalline AcSnO4 at its relaxed geometry. Source: Alexandria, functional GGA-PBE.

```
AcSnO4
1.0
-1.509 4.995 -2.149
1.595 -1.725 -5.131
-5.578 -3.742 2.627
Ac O Sn
2 8 2
Direct
0.000 0.000 0.000
0.750 0.250 0.500
0.096 0.666 0.679
0.334 0.417 0.321
0.416 0.833 0.179
0.167 0.237 0.821
0.583 0.013 0.679
0.654 0.584 0.821
0.987 0.904 0.321
0.763 0.346 0.179
0.500 0.500 0.000
0.250 0.750 0.500
```

***

Calculated relative energies: #one 17.1; #two 0.0, given in kJ/mol of atoms

***

#one
Crystalline SrAcO2 at its relaxed geometry. Source: Alexandria, functional GGA-PBE.

```
SrAcO2
1.0
-0.934 -1.213 3.297
1.643 -2.929 1.392
4.787 2.454 4.262
Sr O Ac
1 2 1
Direct
0.496 0.496 0.513
0.086 0.086 0.741
0.250 0.250 0.251
0.668 0.668 0.995
```

***

#two
Crystalline SrAcO2 at its relaxed geometry. Source: Alexandria, functional GGA-PBE.

```
SrAcO2
1.0
-0.679 1.787 -3.175
-3.368 1.402 -0.654
0.369 6.426 1.374
O Ac Sr
2 1 1
Direct
0.247 0.247 0.258
0.753 0.753 0.742
0.000 0.000 0.000
0.500 0.500 0.500
```

***

Calculated relative energies: #one 13.9; #two 0.0, given in kJ/mol of atoms